# TlNiSb2

A crystal of TlNiSb2 relaxed with PBEsol (SCAN, the Alexandria database).

Lattice parameters (Å, degrees): 6.2509 6.2509 6.2509 151.11 128.91 59.75
Fractional positions:
Tl  0.0000  0.0000  0.0000
Ni  0.5000  0.5000  0.0000
Sb  0.3121  0.8121  0.5000
Sb  0.6879  0.1879  0.5000

Values from the calculation:
Its energy relative to the elements, uncorrected is 147 meV/atom. As for the energy above the lowest structure with this stoichiometry: 252 meV per atom. Its density of states at the Fermi level is 2.241 states/eV/f.u.